1.
Density functional theory data (PBE) for crystalline Ca2AcSmHg4 at its relaxed geometry.

Computed properties:
D(E_F), states/eV per atom: 0.87
Space group: R-3m
E, eV/atom: -2.29

Unit cell a=5.4495 b=5.4495 c=9.4815 alpha=73.30 beta=73.30 gamma=60.00
Last column: nearest neighbours and their distance in Å.
Element x y z (fractional)
Ac 0.0000 0.0000 0.0000  8 Hg 3.38-3.44
Sm 0.5000 0.5000 0.5000  8 Hg 3.23-3.31
Ca 0.2479 0.2479 0.2562  8 Hg 3.22-3.54
Hg 0.3798 0.3798 0.8606  1 Sm 3.23, 4 Ca 3.32-3.54, 3 Ac 3.38
Ca 0.7521 0.7521 0.7438  8 Hg 3.22-3.54
Hg 0.8720 0.8720 0.3841  4 Ca 3.22-3.35, 3 Sm 3.31, 1 Ac 3.44
Hg 0.1280 0.1280 0.6159  4 Ca 3.22-3.35, 3 Sm 3.31, 1 Ac 3.44
Hg 0.6202 0.6202 0.1394  1 Sm 3.23, 4 Ca 3.32-3.54, 3 Ac 3.38

---

2.
Density functional theory data (PBE) for crystalline Pm2Sm5Dy at its relaxed geometry.

Computed properties:
D(E_F), states/eV per atom: 1.45
Space group: Pbam
E, eV/atom: -4.70

Unit cell a=5.1096 b=7.2530 c=14.5111 alpha=90.00 beta=90.00 gamma=90.00
Last column: nearest neighbours and their distance in Å.
Element x y z (fractional)
Sm 0.0000 0.5003 0.2493  7 Sm 3.62-3.64, 1 Dy 3.62, 4 Pm 3.62-3.63
Pm 0.5000 0.2504 0.1245  10 Sm 3.61-3.64, 2 Dy 3.62
Dy 0.0000 0.5000 0.0000  4 Pm 3.62, 8 Sm 3.62-3.63
Sm 0.0000 0.5000 0.5000  6 Sm 3.62-3.64, 4 Pm 3.62, 2 Dy 3.63
Sm 0.0000 0.0000 0.0000  6 Sm 3.62-3.64, 4 Pm 3.62, 2 Dy 3.63
Sm 0.5000 0.2501 0.3754  4 Pm 3.61-3.64, 6 Sm 3.62-3.63, 2 Dy 3.62
Sm 0.5000 0.7501 0.1246  4 Pm 3.61-3.64, 6 Sm 3.62-3.63, 2 Dy 3.62
Sm 0.5000 0.2499 0.8754  4 Pm 3.61-3.64, 6 Sm 3.62-3.63, 2 Dy 3.62
Pm 0.5000 0.7504 0.3755  10 Sm 3.61-3.64, 2 Dy 3.62
Sm 0.0000 0.0003 0.2507  7 Sm 3.62-3.64, 1 Dy 3.62, 4 Pm 3.62-3.63
Sm 0.5000 0.7499 0.6246  4 Pm 3.61-3.64, 6 Sm 3.62-3.63, 2 Dy 3.62
Sm 0.0000 0.4997 0.7507  7 Sm 3.62-3.64, 1 Dy 3.62, 4 Pm 3.62-3.63
Dy 0.0000 0.0000 0.5000  4 Pm 3.62, 8 Sm 3.62-3.63
Sm 0.0000 0.9997 0.7493  7 Sm 3.62-3.64, 1 Dy 3.62, 4 Pm 3.62-3.63
Pm 0.5000 0.2496 0.6245  10 Sm 3.61-3.64, 2 Dy 3.62
Pm 0.5000 0.7496 0.8755  10 Sm 3.61-3.64, 2 Dy 3.62

---

3.
Density functional theory data (PBE) for crystalline V2GaBiAs at its relaxed geometry.

Computed properties:
D(E_F), states/eV per atom: 0.62
Space group: P4/mmm
E, eV/atom: -5.46

Unit cell a=4.8239 b=4.9536 c=4.8239 alpha=90.00 beta=90.00 gamma=90.00
Last column: nearest neighbours and their distance in Å.
Element x y z (fractional)
Bi 0.5000 0.5000 0.5000  4 Ga 3.41, 8 V 3.46
V 0.0000 0.0000 0.5000  2 As 2.41
V 0.5000 0.0000 0.0000  2 As 2.41
As 0.0000 0.0000 0.0000  4 V 2.41, 2 Ga 2.48
Ga 0.0000 0.5000 0.0000  2 As 2.48

---

Number 1: formation energy -4.285 eV per formula unit. Number 2: formation energy 0.118 eV per formula unit. Number 3: formation energy 2.495 eV per formula unit.